[1]
! Ag3SbAu GGA-PBE relaxed; values from VASP
&SYSTEM
  ibrav = 0, nat = 5, ntyp = 3
/
ATOMIC_SPECIES
Ag 107.87 Ag.upf
Sb 121.76 Sb.upf
Au 196.97 Au.upf
CELL_PARAMETERS angstrom
5.2009 0.0000 0.0000
0.0000 5.2009 0.0000
0.0000 0.0000 5.2009
ATOMIC_POSITIONS crystal
Ag 0.0000 0.0000 0.5000
Ag 0.0000 0.5000 0.0000
Ag 0.5000 0.0000 0.0000
Sb 0.0000 0.0000 0.0000
Au 0.5000 0.5000 0.5000
! - DOS(E_F): 1.68 states/eV/cell
! - Symmetry: Pm-3m, No. 221
! - Offset from the most stable computed form: 0.5203 eV/atom
! - Total energy: -2.60 eV/atom
! - Formation energy without anion corrections: 0.59 eV/atom



[2]
! AgSb2Au GGA-PBE relaxed; values from VASP
&SYSTEM
  ibrav = 0, nat = 4, ntyp = 3
/
ATOMIC_SPECIES
Ag 107.87 Ag.upf
Sb 121.76 Sb.upf
Au 196.97 Au.upf
CELL_PARAMETERS angstrom
4.3907 0.0000 0.0000
0.0000 3.7952 0.0000
-1.6837 0.0000 5.5319
ATOMIC_POSITIONS crystal
Ag 0.0000 0.0000 0.0000
Sb 0.1157 0.0000 0.5206
Sb 0.5302 0.5000 0.1051
Au 0.6384 0.5000 0.6200
! - DOS(E_F): 1.54 states/eV/cell
! - Symmetry: Pm, No. 6
! - Offset from the most stable computed form: 0.0000 eV/atom
! - Total energy: -3.55 eV/atom
! - Formation energy without anion corrections: 0.04 eV/atom



[3]
! AgSbAu5 GGA-PBE relaxed; values from VASP
&SYSTEM
  ibrav = 0, nat = 7, ntyp = 3
/
ATOMIC_SPECIES
Ag 107.87 Ag.upf
Sb 121.76 Sb.upf
Au 196.97 Au.upf
CELL_PARAMETERS angstrom
4.1543 0.0000 0.0000
0.0000 4.1543 0.0000
0.0000 0.0000 8.2060
ATOMIC_POSITIONS crystal
Ag 0.0000 0.0000 0.0000
Sb 0.0000 0.0000 0.5000
Au 0.0000 0.5000 0.2558
Au 0.0000 0.5000 0.7442
Au 0.5000 0.0000 0.2558
Au 0.5000 0.0000 0.7442
Au 0.5000 0.5000 0.0000
! - DOS(E_F): 2.54 states/eV/cell
! - Symmetry: P4/mmm, No. 123
! - Total energy: -3.32 eV/atom
! - Formation energy without anion corrections: 0.02 eV/atom



[4]
! AgSb2Au GGA-PBE relaxed; values from VASP
&SYSTEM
  ibrav = 0, nat = 4, ntyp = 3
/
ATOMIC_SPECIES
Ag 107.87 Ag.upf
Sb 121.76 Sb.upf
Au 196.97 Au.upf
CELL_PARAMETERS angstrom
1.8197 1.0506 8.1575
-1.8197 1.0506 8.1575
0.0000 -2.1012 8.1575
ATOMIC_POSITIONS crystal
Ag 0.0000 0.0000 0.0000
Sb 0.2476 0.2476 0.2476
Sb 0.7524 0.7524 0.7524
Au 0.5000 0.5000 0.5000
! - DOS(E_F): 2.09 states/eV/cell
! - Symmetry: R-3m, No. 166
! - Offset from the most stable computed form: 0.0389 eV/atom
! - Total energy: -3.52 eV/atom
! - Formation energy without anion corrections: 0.08 eV/atom



[5]
! AgSbAu2 GGA-PBE relaxed; values from VASP
&SYSTEM
  ibrav = 0, nat = 4, ntyp = 3
/
ATOMIC_SPECIES
Ag 107.87 Ag.upf
Sb 121.76 Sb.upf
Au 196.97 Au.upf
CELL_PARAMETERS angstrom
2.9917 0.0000 0.0000
0.0000 4.0423 0.0000
0.0000 0.0000 6.9641
ATOMIC_POSITIONS crystal
Ag 0.0000 0.0000 0.0000
Sb 0.5000 0.0000 0.5000
Au 0.5000 0.5000 0.2122
Au 0.5000 0.5000 0.7878
! - DOS(E_F): 1.41 states/eV/cell
! - Symmetry: Pmmm, No. 47
! - Total energy: -3.39 eV/atom
! - Formation energy without anion corrections: 0.00 eV/atom



[6]
! Ag2Sb2Au GGA-PBE relaxed; values from VASP
&SYSTEM
  ibrav = 0, nat = 10, ntyp = 3
/
ATOMIC_SPECIES
Ag 107.87 Ag.upf
Sb 121.76 Sb.upf
Au 196.97 Au.upf
CELL_PARAMETERS angstrom
7.3152 0.0000 0.0000
0.0000 7.3152 0.0000
0.0000 0.0000 4.1593
ATOMIC_POSITIONS crystal
Ag 0.1373 0.3627 0.0000
Ag 0.3627 0.8627 0.0000
Ag 0.6373 0.1373 0.0000
Ag 0.8627 0.6373 0.0000
Sb 0.1666 0.6666 0.5000
Sb 0.3334 0.1666 0.5000
Sb 0.6666 0.8334 0.5000
Sb 0.8334 0.3334 0.5000
Au 0.0000 0.0000 0.0000
Au 0.5000 0.5000 0.0000
! - DOS(E_F): 4.31 states/eV/cell
! - Symmetry: P4/mbm, No. 127
! - Offset from the most stable computed form: 0.0152 eV/atom
! - Total energy: -3.28 eV/atom
! - Formation energy without anion corrections: 0.17 eV/atom



[7]
! ScAgSbAu GGA-PBE relaxed; values from VASP
&SYSTEM
  ibrav = 0, nat = 4, ntyp = 4
/
ATOMIC_SPECIES
Sc 44.96 Sc.upf
Ag 107.87 Ag.upf
Sb 121.76 Sb.upf
Au 196.97 Au.upf
CELL_PARAMETERS angstrom
0.0000 3.4600 3.4600
3.4600 0.0000 3.4600
3.4600 3.4600 0.0000
ATOMIC_POSITIONS crystal
Sc 0.0000 0.0000 0.0000
Ag 0.5000 0.5000 0.5000
Sb 0.2500 0.2500 0.2500
Au 0.7500 0.7500 0.7500
! - DOS(E_F): 1.32 states/eV/cell
! - Symmetry: F-43m, No. 216
! - Total energy: -4.55 eV/atom
! - Formation energy without anion corrections: -0.40 eV/atom



[8]
! Ag2SbAuSe4 GGA-PBE relaxed; values from VASP
&SYSTEM
  ibrav = 0, nat = 8, ntyp = 4
/
ATOMIC_SPECIES
Ag 107.87 Ag.upf
Sb 121.76 Sb.upf
Au 196.97 Au.upf
Se 78.96 Se.upf
CELL_PARAMETERS angstrom
-3.0582 3.0582 6.0559
3.0582 -3.0582 6.0559
3.0582 3.0582 -6.0559
ATOMIC_POSITIONS crystal
Ag 0.0000 0.0000 0.0000
Ag 0.7500 0.2500 0.5000
Sb 0.2500 0.7500 0.5000
Au 0.5000 0.5000 0.0000
Se 0.1353 0.1233 0.5074
Se 0.3720 0.8647 0.9880
Se 0.6160 0.6280 0.4926
Se 0.8767 0.3840 0.0120
! - DOS(E_F): 1.66 states/eV/cell
! - Symmetry: I-4, No. 82
! - Total energy: -3.45 eV/atom
! - Formation energy without anion corrections: -0.07 eV/atom



[9]
! Ag2SbAuSe GGA-PBE relaxed; values from VASP
&SYSTEM
  ibrav = 0, nat = 5, ntyp = 4
/
ATOMIC_SPECIES
Ag 107.87 Ag.upf
Sb 121.76 Sb.upf
Au 196.97 Au.upf
Se 78.96 Se.upf
CELL_PARAMETERS angstrom
5.2084 0.0000 0.0000
0.0000 5.2084 0.0000
0.0000 0.0000 5.1523
ATOMIC_POSITIONS crystal
Ag 0.0000 0.5000 0.0000
Ag 0.5000 0.0000 0.0000
Sb 0.0000 0.0000 0.5000
Au 0.0000 0.0000 0.0000
Se 0.5000 0.5000 0.5000
! - DOS(E_F): 3.33 states/eV/cell
! - Symmetry: P4/mmm, No. 123
! - Total energy: -2.75 eV/atom
! - Formation energy without anion corrections: 0.56 eV/atom



[10]
! SmAgSbAu GGA-PBE relaxed; values from VASP
&SYSTEM
  ibrav = 0, nat = 4, ntyp = 4
/
ATOMIC_SPECIES
Sm 150.36 Sm.upf
Ag 107.87 Ag.upf
Sb 121.76 Sb.upf
Au 196.97 Au.upf
CELL_PARAMETERS angstrom
0.0000 3.6088 3.6088
3.6088 0.0000 3.6088
3.6088 3.6088 0.0000
ATOMIC_POSITIONS crystal
Sm 0.0000 0.0000 0.0000
Ag 0.5000 0.5000 0.5000
Sb 0.7500 0.7500 0.7500
Au 0.2500 0.2500 0.2500
! - DOS(E_F): 1.34 states/eV/cell
! - Symmetry: F-43m, No. 216
! - Total energy: -4.25 eV/atom
! - Formation energy without anion corrections: -0.51 eV/atom



[11]
! AgSn2Sb2Au7 GGA-PBE relaxed; values from VASP
&SYSTEM
  ibrav = 0, nat = 12, ntyp = 4
/
ATOMIC_SPECIES
Ag 107.87 Ag.upf
Sn 118.71 Sn.upf
Sb 121.76 Sb.upf
Au 196.97 Au.upf
CELL_PARAMETERS angstrom
2.9047 -2.9052 0.0000
2.9047 2.9052 0.0000
-2.8275 0.0000 16.6079
ATOMIC_POSITIONS crystal
Ag 0.0000 0.0000 0.0000
Sn 0.3801 0.3801 0.7561
Sn 0.6199 0.6199 0.2439
Sb 0.2153 0.2153 0.4281
Sb 0.7847 0.7847 0.5719
Au 0.0645 0.5648 0.1305
Au 0.2948 0.2948 0.5933
Au 0.4352 0.9355 0.8695
Au 0.5000 0.5000 0.0000
Au 0.5648 0.0645 0.1305
Au 0.7052 0.7052 0.4067
Au 0.9355 0.4352 0.8695
! - DOS(E_F): 5.43 states/eV/cell
! - Symmetry: C2/m, No. 12
! - Total energy: -3.54 eV/atom
! - Formation energy without anion corrections: -0.04 eV/atom



[12]
! AgSnSbAu GGA-PBE relaxed; values from VASP
&SYSTEM
  ibrav = 0, nat = 4, ntyp = 4
/
ATOMIC_SPECIES
Ag 107.87 Ag.upf
Sn 118.71 Sn.upf
Sb 121.76 Sb.upf
Au 196.97 Au.upf
CELL_PARAMETERS angstrom
0.0000 3.5676 3.5676
3.5676 0.0000 3.5676
3.5676 3.5676 0.0000
ATOMIC_POSITIONS crystal
Ag 0.0000 0.0000 0.0000
Sn 0.2500 0.2500 0.2500
Sb 0.7500 0.7500 0.7500
Au 0.5000 0.5000 0.5000
! - DOS(E_F): 1.85 states/eV/cell
! - Symmetry: F-43m, No. 216
! - Total energy: -3.48 eV/atom
! - Formation energy without anion corrections: 0.09 eV/atom



[13]
! Ag7Sn2Sb2Au GGA-PBE relaxed; values from VASP
&SYSTEM
  ibrav = 0, nat = 12, ntyp = 4
/
ATOMIC_SPECIES
Ag 107.87 Ag.upf
Sn 118.71 Sn.upf
Sb 121.76 Sb.upf
Au 196.97 Au.upf
CELL_PARAMETERS angstrom
2.8447 -2.8467 0.0000
2.8447 2.8467 0.0000
-2.7921 0.0000 16.0010
ATOMIC_POSITIONS crystal
Ag 0.0000 0.0000 0.0000
Ag 0.0662 0.5659 0.1358
Ag 0.2293 0.2293 0.4605
Ag 0.4341 0.9338 0.8642
Ag 0.5659 0.0662 0.1358
Ag 0.7707 0.7707 0.5395
Ag 0.9338 0.4341 0.8642
Sn 0.1321 0.1321 0.2767
Sn 0.8679 0.8679 0.7233
Sb 0.3235 0.3235 0.6352
Sb 0.6765 0.6765 0.3648
Au 0.5000 0.5000 0.0000
! - DOS(E_F): 3.43 states/eV/cell
! - Symmetry: C2/m, No. 12
! - Total energy: -3.22 eV/atom
! - Formation energy without anion corrections: 0.07 eV/atom